*P*
Below is a relaxed FeSiP crystal, with properties calculated at the GGA-PBE level.

Summary:
Total magnetic moment in μB/f.u.: 0.00

a = 2.6614 Å, b = 2.6614 Å, c = 10.6807 Å
α = 90.00°, β = 90.00°, γ = 90.00°
Closest atoms and distances in Å follow each position.
Space group I4mm (No. 107)
Inequivalent atoms, fractional coordinates:
Fe  0.0000  0.0000  0.0000  4 P 2.32, 4 Si 2.47
Si  0.0000  0.0000  0.3502  4 Fe 2.47, 4 Si 2.66
P  0.0000  0.0000  0.6268  4 Fe 2.32

---

*Q*
Below is a relaxed FeSiP crystal, with properties calculated at the GGA-PBE level.

Summary:
Total magnetic moment in μB/f.u.: 0.47

a = 3.1447 Å, b = 3.1447 Å, c = 7.2323 Å
α = 90.00°, β = 90.00°, γ = 90.00°
Closest atoms and distances in Å follow each position.
Space group I4mm (No. 107)
Inequivalent atoms, fractional coordinates:
Fe  0.0000  0.0000  0.0000  5 P 2.36-2.55, 5 Si 2.46-2.50
Si  0.0000  0.0000  0.6593  5 P 2.40-2.53, 5 Fe 2.46-2.50
P  0.0000  0.0000  0.3270  5 Fe 2.36-2.55, 5 Si 2.40-2.53

---

*R*
Below is a relaxed FeSiP crystal, with properties calculated at the GGA-PBE level.

Summary:
Total magnetic moment in μB/f.u.: 0.00

a = 5.3432 Å, b = 5.3432 Å, c = 5.3432 Å
α = 90.00°, β = 90.00°, γ = 90.00°
Closest atoms and distances in Å follow each position.
Space group F-43m (No. 216)
Inequivalent atoms, fractional coordinates:
Fe  0.0000  0.0000  0.0000  4 P 2.31
Si  0.0000  0.0000  0.5000  4 P 2.31
P  0.2500  0.2500  0.2500  4 Fe 2.31, 4 Si 2.31

---

Stability check: which of them is least stable? *R*.

---

*P*
Below is a relaxed SmFe3P3 crystal, with properties calculated at the GGA-PBE level.

Summary:
Total magnetic moment in μB/f.u.: 2.64

a = 6.0976 Å, b = 6.0976 Å, c = 6.0976 Å
α = 90.00°, β = 90.00°, γ = 90.00°
Closest atoms and distances in Å follow each position.
Space group Pm-3n (No. 223)
Inequivalent atoms, fractional coordinates:
Sm  0.0000  0.0000  0.0000  12 Fe 3.41, 12 P 3.41
Fe  0.0000  0.2500  0.5000  4 P 2.16
P  0.0000  0.5000  0.2500  4 Fe 2.16

---

*Q*
Below is a relaxed SmFe3P3 crystal, with properties calculated at the GGA-PBE level.

Summary:
Total magnetic moment in μB/f.u.: 0.25

a = 6.3498 Å, b = 6.3498 Å, c = 19.7843 Å
α = 90.00°, β = 90.00°, γ = 120.00°
Closest atoms and distances in Å follow each position.
Space group R-3 (No. 148, hexagonal axes)
Inequivalent atoms, fractional coordinates:
Sm  0.0000  0.0000  0.1670  6 P 2.90-2.93, 6 Fe 3.19-3.25
Fe  0.0066  0.3530  0.3752  4 P 2.18-2.23
P  0.0055  0.3132  0.5970  4 Fe 2.18-2.23

---

Stability check: which of them is least stable? *P*.

---

*P*
Below is a relaxed SrFeP2 crystal, with properties calculated at the GGA-PBE level.

Summary:
Total magnetic moment in μB/f.u.: 3.31

a = 3.8803 Å, b = 4.4493 Å, c = 4.4859 Å
α = 90.00°, β = 90.00°, γ = 90.00°
Closest atoms and distances in Å follow each position.
Space group Pmmm (No. 47)
Inequivalent atoms, fractional coordinates:
Sr  0.0000  0.0000  0.0000  8 P 2.95-2.97, 4 Fe 3.16
Fe  0.0000  0.5000  0.5000  8 P 2.95-2.97, 4 Sr 3.16
P  0.5000  0.0000  0.5000  4 Fe 2.95, 4 Sr 2.97, 4 P 3.16
P  0.5000  0.5000  0.0000  4 Sr 2.95, 4 Fe 2.97, 4 P 3.16

---

*Q*
Below is a relaxed SrFeP2 crystal, with properties calculated at the GGA-PBE level.

Summary:
Total magnetic moment in μB/f.u.: 0.00

a = 3.8899 Å, b = 3.8899 Å, c = 16.0634 Å
α = 90.00°, β = 90.00°, γ = 120.00°
Closest atoms and distances in Å follow each position.
Space group R-3m (No. 166, hexagonal axes)
Inequivalent atoms, fractional coordinates:
Sr  0.0000  0.0000  0.0000  8 P 3.04-3.30
Fe  0.0000  0.0000  0.5000  6 P 2.33
P  0.0000  0.0000  0.2054  3 Fe 2.33, 3 P 2.57

---

*R*
Below is a relaxed SrFeP2 crystal, with properties calculated at the GGA-PBE level.

Summary:
Total magnetic moment in μB/f.u.: 3.27

a = 4.0212 Å, b = 4.0212 Å, c = 9.6619 Å
α = 90.00°, β = 90.00°, γ = 90.00°
Closest atoms and distances in Å follow each position.
Space group I-4m2 (No. 119)
Inequivalent atoms, fractional coordinates:
Sr  0.0000  0.0000  0.0000  8 P 2.84-3.14, 4 Fe 3.14
Fe  0.0000  0.5000  0.7500  8 P 2.84-3.14, 4 Sr 3.14
P  0.0000  0.0000  0.5000  4 Sr 2.84, 4 Fe 3.14, 4 P 3.14
P  0.0000  0.5000  0.2500  4 Fe 2.84, 4 Sr 3.14, 4 P 3.14

---

*S*
Below is a relaxed SrFeP2 crystal, with properties calculated at the GGA-PBE level.

Summary:
Total magnetic moment in μB/f.u.: 1.57

a = 3.2477 Å, b = 3.2477 Å, c = 6.7939 Å
α = 90.00°, β = 90.00°, γ = 90.00°
Closest atoms and distances in Å follow each position.
Space group P4mm (No. 99)
Inequivalent atoms, fractional coordinates:
Sr  0.0000  0.0000  0.0000  5 P 3.04-3.15, 4 Sr 3.25
Fe  0.5000  0.5000  0.3776  5 P 2.23-2.37
P  0.0000  0.0000  0.4641  4 Fe 2.37
P  0.5000  0.5000  0.7063  1 Fe 2.23

---

Stability check: which of them is least stable? *R*.

---

*P*
Below is a relaxed Sr2Fe2P crystal, with properties calculated at the GGA-PBE level.

Summary:
Total magnetic moment in μB/f.u.: 0.00

a = 3.3634 Å, b = 3.3634 Å, c = 18.6086 Å
α = 90.00°, β = 90.00°, γ = 90.00°
Closest atoms and distances in Å follow each position.
Space group I4/mmm (No. 139)
Inequivalent atoms, fractional coordinates:
Sr  0.0000  0.0000  0.1049  4 P 3.08, 4 Fe 3.18, 4 Sr 3.36
Fe  0.0000  0.5000  0.2500  4 Fe 2.38
P  0.0000  0.0000  0.5000  8 Sr 3.08, 4 P 3.36

---

*Q*
Below is a relaxed Sr2Fe2P crystal, with properties calculated at the GGA-PBE level.

Summary:
Total magnetic moment in μB/f.u.: 0.27

a = 8.6187 Å, b = 8.6187 Å, c = 3.2617 Å
α = 90.00°, β = 90.00°, γ = 90.00°
Closest atoms and distances in Å follow each position.
Space group P4/mbm (No. 127)
Inequivalent atoms, fractional coordinates:
Sr  0.1986  0.3014  0.0000  6 Fe 3.08-3.15, 2 P 3.11, 2 Sr 3.26
Fe  0.0804  0.5804  0.5000  1 Fe 1.96
P  0.0000  0.0000  0.0000  4 Sr 3.11, 2 P 3.26

---

Stability check: which of them is least stable? *Q*.